# La2Re, relaxed, DFT GGA-PBE
data_La2Re
_space_group_name_H-M_alt 'P 1'
_space_group_IT_number 1
_space_group_name_Hall 'P 1'
_cell_length_a 3.486
_cell_length_b 3.486
_cell_length_c 15.637
_cell_angle_alpha 90.00
_cell_angle_beta 90.00
_cell_angle_gamma 120.00
loop_
_atom_site_label
_atom_site_type_symbol
_atom_site_fract_x
_atom_site_fract_y
_atom_site_fract_z
La1 La 0.000 0.000 0.783
La2 La 0.000 0.000 0.217
La3 La 0.000 0.000 0.500
La4 La 0.667 0.333 0.000
Re1 Re 0.667 0.333 0.351
Re2 Re 0.667 0.333 0.649
# E above lowest polymorph in eV/atom: 0.516
# Symmetry: P-6m2 (187)
# DFT total energy in eV/atom: -6.761
# Density in g/cm³: 9.36
# Total moment in μB/f.u.: 0.00